Entry 1:
Compound: CaIn2Cu
Source: Alexandria
Functional: SCAN
Structure: PBEsol geometry

The calculation puts the energy of formation from the pure elements at -1.197 eV per formula unit. The value obtained for the size of the total moment is 0.00 Bohr magnetons per cell. Its theoretical density is 5.9 g/cm³. As for the density of states at the Fermi level: 4.6 states/eV/cell. The raw total energy comes out at -23.208 eV/atom.

The space group is R-3m (No. 166, hexagonal axes) and the conventional cell measures 4.4214, 4.4214 and 16.7528 Å, with angles of 90.00, 90.00 and 120.00 degrees. The distinct sites, in fractional coordinates, are Ca at (0.0000, 0.0000, 0.0000), In at (0.0000, 0.0000, 0.2157) and Cu at (0.0000, 0.0000, 0.5000).

Entry 2:
Compound: CaInCu2
Source: Alexandria
Functional: SCAN
Structure: PBEsol geometry

The calculation puts the energy of formation from the pure elements at 0.175 eV per formula unit. The value obtained for the size of the total moment is 0.00 Bohr magnetons per cell. Its theoretical density is 6.5 g/cm³. As for the density of states at the Fermi level: 7.0 states/eV/cell. The raw total energy comes out at -18.318 eV/atom.

The space group is F-43m (No. 216) and the conventional cell measures 6.615, 6.615 and 6.615 Å, with angles of 90.00, 90.00 and 90.00 degrees. The distinct sites, in fractional coordinates, are Ca at (0.000, 0.000, 0.000), In at (0.250, 0.250, 0.750), Cu at (0.000, 0.000, 0.500) and Cu at (0.250, 0.250, 0.250).

Entry 3:
Compound: CaInCu2
Source: Alexandria
Functional: SCAN
Structure: PBEsol geometry

The calculation puts the energy of formation from the pure elements at -0.752 eV per formula unit. The value obtained for the size of the total moment is 0.00 Bohr magnetons per cell. Its theoretical density is 5.7 g/cm³. As for the density of states at the Fermi level: 5.3 states/eV/cell. The raw total energy comes out at -18.550 eV/atom.

The space group is R3m (No. 160, hexagonal axes) and the conventional cell measures 4.2625, 4.2625 and 15.6207 Å, with angles of 90.00, 90.00 and 120.00 degrees. The distinct sites, in fractional coordinates, are Ca at (0.0000, 0.0000, 0.0000), In at (0.0000, 0.0000, 0.1981), Cu at (0.0000, 0.0000, 0.4608) and Cu at (0.0000, 0.0000, 0.7962).

Entry 4:
Compound: CaCu2Ir
Source: Alexandria
Functional: SCAN
Structure: PBEsol geometry

Its offset from the most stable computed form is 24 meV per atom. The calculation puts the energy of formation from the pure elements at 0.271 eV per formula unit. The value obtained for the size of the total moment is 0.00 Bohr magnetons per cell. Its theoretical density is 10.0 g/cm³. As for the density of states at the Fermi level: 2.6 states/eV/cell. The raw total energy comes out at -27.723 eV/atom.

The space group is Cmmm (No. 65) and the conventional cell measures 5.977, 5.989 and 3.336 Å, with angles of 90.00, 90.00 and 90.00 degrees. The distinct sites, in fractional coordinates, are Ca at (0.000, 0.000, 0.000), Cu at (0.250, 0.250, 0.500) and Ir at (0.000, 0.500, 0.000).

Entry 5:
Compound: CaCu3Ir
Source: Alexandria
Functional: SCAN
Structure: PBEsol geometry

The calculation puts the energy of formation from the pure elements at 9.449 eV per formula unit. The value obtained for the size of the total moment is 0.00 Bohr magnetons per cell. Its theoretical density is 8.3 g/cm³. As for the density of states at the Fermi level: 1.7 states/eV/cell. The raw total energy comes out at -23.382 eV/atom.

The space group is Pm-3m (No. 221) and the conventional cell measures 4.388, 4.388 and 4.388 Å, with angles of 90.00, 90.00 and 90.00 degrees. The distinct sites, in fractional coordinates, are Ca at (0.000, 0.000, 0.000), Cu at (0.000, 0.000, 0.500) and Ir at (0.500, 0.500, 0.500).

Entry 6:
Compound: Ca2CuIr
Source: Alexandria
Functional: SCAN
Structure: PBEsol geometry

The calculation puts the energy of formation from the pure elements at -0.622 eV per formula unit. The value obtained for the size of the total moment is 0.00 Bohr magnetons per cell. Its theoretical density is 6.9 g/cm³. As for the density of states at the Fermi level: 2.5 states/eV/cell. The raw total energy comes out at -26.562 eV/atom.

The space group is Cm (No. 8) and the conventional cell measures 10.693, 3.204 and 4.915 Å, with angles of 90.00, 106.92 and 90.00 degrees. The distinct sites, in fractional coordinates, are Ca at (0.000, 0.000, 0.000), Ca at (0.199, 0.000, 0.641), Cu at (0.429, 0.000, 0.437) and Ir at (0.252, 0.500, 0.171).